Below is an optimized crystal structure of ZnAgBr2, with properties calculated at the PBE level.

abc: 8.739 8.739 8.739
angles: 27.12 27.12 27.12
Sites, in units of the cell vectors:
Zn 0.000 0.000 0.000
Br 0.898 0.898 0.898
Br 0.102 0.102 0.102
Ag 0.500 0.500 0.500

Values from the calculation:
Its energy relative to the elements, uncorrected is -46.4 kJ/mol of formula units. The value obtained for the calculated total energy is -0.073 hartree per atom.


Below is an optimized crystal structure of Mg5AgSn2Pd2, with properties calculated at the PBE level.

abc: 3.731 10.453 10.453
angles: 90.00 90.00 90.00
Sites, in units of the cell vectors:
Mg 0.500 0.201 0.068
Mg 0.500 0.799 0.932
Mg 0.500 0.068 0.799
Mg 0.500 0.701 0.432
Mg 0.500 0.932 0.201
Mg 0.500 0.299 0.568
Mg 0.500 0.568 0.701
Mg 0.500 0.432 0.299
Mg 0.500 0.500 0.000
Mg 0.500 0.000 0.500
Ag 0.000 0.000 0.000
Ag 0.000 0.500 0.500
Sn 0.000 0.671 0.171
Sn 0.000 0.329 0.829
Sn 0.000 0.171 0.329
Sn 0.000 0.829 0.671
Pd 0.000 0.129 0.629
Pd 0.000 0.871 0.371
Pd 0.000 0.629 0.871
Pd 0.000 0.371 0.129

Values from the calculation:
Its energy of formation is -0.333 eV/atom. The value obtained for the calculated total energy is -0.120 hartree per atom.


Below is an optimized crystal structure of AcMoP, with properties calculated at the PBE level.

abc: 8.421 8.749 8.749
angles: 52.30 61.23 61.23
Sites, in units of the cell vectors:
Ac 0.217 0.971 0.471
Ac 0.659 0.029 0.529
Ac 0.659 0.529 0.029
Ac 0.216 0.471 0.971
Ac 0.850 0.250 0.750
Ac 0.850 0.750 0.250
Mo 0.510 0.500 0.500
Mo 0.510 0.000 0.000
Mo 0.265 0.917 0.912
Mo 0.094 0.083 0.088
Mo 0.094 0.588 0.583
Mo 0.265 0.412 0.417
P 0.329 0.749 0.249
P 0.327 0.251 0.751
P 0.544 0.651 0.651
P 0.845 0.349 0.349
P 0.845 0.849 0.849
P 0.544 0.151 0.151

Values from the calculation:
Its energy of formation is -0.407 eV/atom. The value obtained for the calculated total energy is -0.264 hartree per atom.


Below is an optimized crystal structure of AsRu2Se, with properties calculated at the PBE level.

abc: 3.860 3.044 6.141
angles: 60.34 90.00 90.00
Sites, in units of the cell vectors:
Ru 0.000 0.035 0.965
Ru 0.500 0.208 0.291
As 0.500 0.681 0.819
Se 0.000 0.575 0.425

Values from the calculation:
Its energy relative to the elements, uncorrected is -4.6 kJ/mol of formula units. The value obtained for the calculated total energy is -0.246 hartree per atom.


Below is an optimized crystal structure of Tb2PaAg, with properties calculated at the PBE level.

abc: 3.377 5.526 5.526
angles: 90.00 90.00 90.00
Sites, in units of the cell vectors:
Pa 0.500 0.500 0.500
Tb 0.000 0.000 0.500
Tb 0.000 0.500 0.000
Ag 0.500 0.000 0.000

Values from the calculation:
Its energy of formation is 0.119 eV/atom. The value obtained for the calculated total energy is -0.194 hartree per atom.


Below is an optimized crystal structure of TeOs2Pt, with properties calculated at the PBE level.

abc: 2.884 2.884 8.360
angles: 90.00 90.00 90.00
Sites, in units of the cell vectors:
Os 0.000 0.000 0.036
Os 0.500 0.500 0.233
Pt 0.000 0.000 0.466
Te 0.500 0.500 0.765

Values from the calculation:
Its energy relative to the elements, uncorrected is 185.6 kJ/mol of formula units. The value obtained for the calculated total energy is -0.273 hartree per atom.


Below is an optimized crystal structure of TbPr10Y6, with properties calculated at the PBE level.

abc: 6.981 9.948 9.948
angles: 120.00 90.00 90.00
Sites, in units of the cell vectors:
Tb 0.500 0.000 0.000
Pr 0.819 0.725 0.725
Pr 0.819 0.000 0.275
Pr 0.819 0.275 0.000
Pr 0.181 0.275 0.275
Pr 0.181 0.000 0.725
Pr 0.181 0.725 0.000
Pr 0.500 0.333 0.667
Pr 0.500 0.667 0.333
Pr 0.000 0.667 0.333
Pr 0.000 0.333 0.667
Y 0.685 0.366 0.366
Y 0.685 0.000 0.634
Y 0.685 0.634 0.000
Y 0.315 0.634 0.634
Y 0.315 0.000 0.366
Y 0.315 0.366 0.000

Values from the calculation:
Its energy of formation is 0.129 eV/atom. The value obtained for the calculated total energy is -0.192 hartree per atom.


Below is an optimized crystal structure of ZrCd2Te, with properties calculated at the PBE level.

abc: 5.633 5.633 5.633
angles: 133.69 133.75 67.53
Sites, in units of the cell vectors:
Cd 0.000 0.000 0.000
Cd 0.750 0.250 0.500
Te 0.500 0.500 0.000
Zr 0.250 0.750 0.500

Values from the calculation:
Its energy relative to the elements, uncorrected is -69.4 kJ/mol of formula units. The value obtained for the calculated total energy is -0.131 hartree per atom.


The evaluated V for the records listed, in turn: 122 408 430 63 103 70 598 92 Å³ per cell.
The evaluated DOS(E_F) for the records listed, in turn: 1.9 5.7 16.2 3.6 7.2 3.6 26.9 1.6 states/eV/cell.